Record 1
Here is Pr5Mg4Cd after structural relaxation from the Open Quantum Materials Database. Energies are from GGA-PBE.

abc: 3.901 3.901 19.502
angles: 90.00 90.00 90.00
Element x y z (fractional)
Pr  0.000  0.000  0.000
Pr  0.000  0.000  0.201
Pr  0.000  0.000  0.401
Pr  0.000  0.000  0.599
Pr  0.000  0.000  0.799
Mg  0.500  0.500  0.100
Mg  0.500  0.500  0.300
Mg  0.500  0.500  0.700
Mg  0.500  0.500  0.900
Cd  0.500  0.500  0.500

Theoretical density ... 5116 kg/m3
E_tot ... -3.256 eV per atom

***

Record 2
Here is CdGePO after structural relaxation from the Open Quantum Materials Database. Energies are from GGA-PBE.

abc: 3.626 6.457 6.526
angles: 90.00 90.00 90.00
Element x y z (fractional)
Cd  0.000  0.197  0.000
Cd  0.000  0.803  0.500
Ge  0.500  0.372  0.524
Ge  0.500  0.628  0.024
P  0.000  0.182  0.392
P  0.000  0.818  0.892
O  0.500  0.381  0.863
O  0.500  0.619  0.363

Theoretical density ... 5042 kg/m3
Distance to the lowest polymorph of the same formula ... 0.0000 eV per atom

***

Record 3
Here is AlOsI7 after structural relaxation from the Open Quantum Materials Database. Energies are from GGA-PBE.

abc: 7.723 6.766 16.816
angles: 90.00 100.04 90.00
Element x y z (fractional)
Al  0.000  0.013  0.000
Al  0.000  0.987  0.500
Os  0.239  0.418  0.130
Os  0.239  0.582  0.630
I  0.008  0.370  0.502
I  0.008  0.630  0.002
I  0.139  0.357  0.740
I  0.139  0.643  0.240
I  0.305  0.180  0.002
I  0.305  0.820  0.502
I  0.430  0.185  0.233
I  0.430  0.815  0.733
I  0.506  0.356  0.610
I  0.506  0.644  0.110
I  0.778  0.114  0.880
I  0.778  0.886  0.380
I  0.944  0.179  0.133
I  0.944  0.821  0.633

Theoretical density ... 4243 kg/m3
E_tot ... -3.016 eV per atom

***

Record 4
Here is DyPd2Pb after structural relaxation from the Open Quantum Materials Database. Energies are from GGA-PBE.

abc: 4.204 5.954 6.864
angles: 90.00 90.00 90.00
Element x y z (fractional)
Dy  0.000  0.134  0.000
Dy  0.000  0.866  0.500
Pd  0.000  0.400  0.360
Pd  0.000  0.600  0.860
Pd  0.500  0.091  0.286
Pd  0.500  0.909  0.786
Pb  0.500  0.364  0.648
Pb  0.500  0.636  0.148

Theoretical density ... 11262 kg/m3
E_tot ... -5.279 eV per atom

***

Record 5
Here is LiYCoSb after structural relaxation from the Open Quantum Materials Database. Energies are from GGA-PBE.

abc: 4.587 4.587 4.587
angles: 60.00 60.00 60.00
Element x y z (fractional)
Li  0.000  0.000  0.000
Y  0.750  0.750  0.750
Co  0.500  0.500  0.500
Sb  0.250  0.250  0.250

Theoretical density ... 6729 kg/m3
Distance to the lowest polymorph of the same formula ... 0.0000 eV per atom

***

Record 6
Here is NdYW2C3 after structural relaxation from the Open Quantum Materials Database. Energies are from GGA-PBE.

abc: 6.268 6.268 5.822
angles: 113.02 113.02 31.14
Element x y z (fractional)
Nd  0.000  0.000  0.000
Y  0.782  0.782  0.368
W  0.237  0.237  0.867
W  0.551  0.551  0.515
C  0.144  0.144  0.461
C  0.392  0.392  0.199
C  0.646  0.646  0.919

Theoretical density ... 9783 kg/m3
E_tot ... -9.519 eV per atom

***

Record 7
Here is TlCoPtW after structural relaxation from the Open Quantum Materials Database. Energies are from GGA-PBE.

abc: 4.522 4.522 4.522
angles: 60.00 60.00 60.00
Element x y z (fractional)
Tl  0.000  0.000  0.000
Co  0.250  0.250  0.250
Pt  0.750  0.750  0.750
W  0.500  0.500  0.500

Theoretical density ... 16307 kg/m3
Distance to the lowest polymorph of the same formula ... 0.0000 eV per atom

***

Record 8
Here is Ba2NdIrO6 after structural relaxation from the Open Quantum Materials Database. Energies are from GGA-PBE.

abc: 5.999 5.999 5.999
angles: 60.71 60.71 60.71
Element x y z (fractional)
Ba  0.249  0.249  0.249
Ba  0.751  0.751  0.751
Nd  0.500  0.500  0.500
Ir  0.000  0.000  0.000
O  0.197  0.771  0.265
O  0.229  0.735  0.803
O  0.265  0.197  0.771
O  0.735  0.803  0.229
O  0.771  0.265  0.197
O  0.803  0.229  0.735

Theoretical density ... 7572 kg/m3
Distance to the lowest polymorph of the same formula ... 0.0000 eV per atom

***

Record 9
Here is DyTm2Mg4Tl2 after structural relaxation from the Open Quantum Materials Database. Energies are from GGA-PBE.

abc: 4.622 7.547 7.547
angles: 120.32 90.00 90.00
Element x y z (fractional)
Dy  0.000  0.000  0.000
Tm  0.000  0.127  0.564
Tm  0.000  0.564  0.127
Mg  0.000  0.561  0.561
Mg  0.500  0.321  0.321
Mg  0.500  0.564  0.805
Mg  0.500  0.805  0.564
Tl  0.500  0.232  0.897
Tl  0.500  0.897  0.232

Theoretical density ... 7355 kg/m3
E_tot ... -2.934 eV per atom

***

Record 10
Here is MgAlAg2 after structural relaxation from the Open Quantum Materials Database. Energies are from GGA-PBE.

abc: 4.591 4.591 4.591
angles: 120.20 120.20 89.66
Element x y z (fractional)
Mg  0.000  0.000  0.000
Al  0.500  0.500  0.000
Ag  0.250  0.750  0.500
Ag  0.750  0.250  0.500

Theoretical density ... 6498 kg/m3
Distance to the lowest polymorph of the same formula ... 0.0000 eV per atom

***

Record 11
Here is Sr3Fe2P4 after structural relaxation from the Open Quantum Materials Database. Energies are from GGA-PBE.

abc: 7.204 14.977 3.922
angles: 90.00 90.00 90.00
Element x y z (fractional)
Sr  0.000  0.000  0.000
Sr  0.176  0.280  0.500
Sr  0.324  0.780  0.000
Sr  0.500  0.500  0.500
Sr  0.676  0.220  0.000
Sr  0.824  0.720  0.500
Fe  0.107  0.575  0.000
Fe  0.393  0.075  0.500
Fe  0.607  0.925  0.500
Fe  0.893  0.425  0.000
P  0.197  0.436  0.000
P  0.199  0.638  0.500
P  0.301  0.138  0.000
P  0.303  0.936  0.500
P  0.697  0.064  0.500
P  0.699  0.862  0.000
P  0.801  0.362  0.500
P  0.803  0.564  0.000

Theoretical density ... 3912 kg/m3
E_tot ... -5.485 eV per atom

***

Record 12
Here is KPrSiS4 after structural relaxation from the Open Quantum Materials Database. Energies are from GGA-PBE.

abc: 6.583 6.684 8.793
angles: 90.00 107.69 90.00
Element x y z (fractional)
K  0.230  0.000  0.434
K  0.770  0.500  0.566
Pr  0.270  0.986  0.950
Pr  0.730  0.486  0.050
Si  0.283  0.517  0.181
Si  0.717  0.017  0.819
S  0.091  0.517  0.334
S  0.096  0.560  0.937
S  0.476  0.253  0.212
S  0.483  0.250  0.771
S  0.517  0.750  0.229
S  0.524  0.753  0.788
S  0.904  0.060  0.063
S  0.909  0.017  0.666

Theoretical density ... 3030 kg/m3
E_tot ... -5.407 eV per atom

***

Question: Which of these has the lowest theoretical density?
Answer: KPrSiS4